[1]
VASP calculation (GGA-PBE) on Tb3Nd2S8 after structural relaxation.

Cell: 8.045 8.045 6.783 Å, 107.35 107.35 60.29°
Positions (direct):
Tb: 0.000 0.000 0.000
Tb: 0.263 0.737 0.500
Tb: 0.737 0.263 0.500
Nd: 0.265 0.265 0.843
Nd: 0.735 0.735 0.157
S: 0.109 0.647 0.088
S: 0.114 0.114 0.426
S: 0.353 0.891 0.912
S: 0.379 0.379 0.574
S: 0.621 0.621 0.426
S: 0.647 0.109 0.088
S: 0.886 0.886 0.574
S: 0.891 0.353 0.912

Summary:
SG: C2/m, No. 12
Formation energy from raw total energies in eV per atom: -1.885
Volume in Å³/f.u.: 358.0
Density of states at the Fermi level in states/eV per atom: 0.552
Total magnetization in μB per formula unit: 0.0



[2]
VASP calculation (GGA-PBE) on Cs3Ac3CeS8 after structural relaxation.

Cell: 9.643 9.643 9.643 Å, 54.31 54.31 54.31°
Positions (direct):
Cs: 0.000 0.500 0.500
Cs: 0.500 0.000 0.500
Cs: 0.500 0.500 0.000
Ac: 0.000 0.000 0.500
Ac: 0.000 0.500 0.000
Ac: 0.500 0.000 0.000
Ce: 0.500 0.500 0.500
S: 0.231 0.231 0.231
S: 0.249 0.714 0.714
S: 0.286 0.286 0.751
S: 0.286 0.751 0.286
S: 0.714 0.249 0.714
S: 0.714 0.714 0.249
S: 0.751 0.286 0.286
S: 0.769 0.769 0.769

Summary:
SG: R-3m, No. 166
Formation energy from raw total energies in eV per atom: -1.861
Volume in Å³/f.u.: 549.8
Total magnetization in μB per formula unit: 0.0



[3]
VASP calculation (GGA-PBE) on Dy4Te5P after structural relaxation.

Cell: 9.521 9.521 8.516 Å, 102.02 102.02 25.58°
Positions (direct):
Dy: 0.001 0.001 0.266
Dy: 0.340 0.340 0.414
Dy: 0.660 0.660 0.586
Dy: 0.999 0.999 0.734
Te: 0.165 0.165 0.841
Te: 0.169 0.169 0.326
Te: 0.500 0.500 0.000
Te: 0.831 0.831 0.674
Te: 0.835 0.835 0.159
P: 0.500 0.500 0.500

Summary:
SG: C2/m, No. 12
Formation energy from raw total energies in eV per atom: -1.284
Volume in Å³/f.u.: 325.6
Density of states at the Fermi level in states/eV per atom: 0.369
Total magnetization in μB per formula unit: 0.0